Compound: PaPt3Br
Source: OQMD via LeMat-Bulk
Functional: GGA-PBE
Structure: relaxed

Cell and atoms, written as extended XYZ:
```
10
Lattice="-3.3382 3.3382 5.0279 3.3382 -3.3382 5.0279 3.3382 3.3382 -5.0279" Properties=species:S:1:pos:R:3 pbc="T T T"
Br 0.0000 0.0000 0.0000
Br 0.0000 0.0000 5.0279
Pt 0.0000 0.0000 2.5139
Pt 0.0000 0.0000 7.5418
Pt -0.9572 2.3810 5.0279
Pt 0.9572 2.3810 0.0000
Pt 4.2954 0.9572 0.0000
Pt 2.3810 0.9572 5.0279
Pa 3.3382 0.0000 2.5139
Pa 0.0000 3.3382 2.5139
```

Values from the calculation:
- Total DFT energy (no corrections): -5.580 eV/atom
- ρ: 13.3 g/cm³
- Spin magnetization: 0.0095 μB per atom
- SG: No. 140